Ca2AgHg: optimized geometry, GGA-PBE.

The calculation puts the formation energy at -339 meV per atom. The density of states at the Fermi level comes out at 4.75 states/eV per cell. The value obtained for the total energy is -2.1277 eV/atom.

The structure belongs to space group Cm (No. 8); the cell edges are 11.4728, 3.5854 and 5.3897 Å and the angles 90.00°, 105.07° and 90.00°. Symmetry generates all atoms from Ca at (0.0000, 0.0000, 0.0000), Ca at (0.2104, 0.0000, 0.6210), Ag at (0.2466, 0.5000, 0.1472) and Hg at (0.4631, 0.0000, 0.4750).



Ca4Ag2Hg5: optimized geometry, GGA-PBE.

The calculation puts the formation energy at -403 meV per atom. The density of states at the Fermi level comes out at 5.51 states/eV per cell. The value obtained for the total energy is -1.7863 eV/atom.

The structure belongs to space group P2/m (No. 10); the cell edges are 7.8638, 3.7730 and 9.7781 Å and the angles 90.00°, 93.21° and 90.00°. Symmetry generates all atoms from Ca at (0.1880, 0.0000, 0.3731), Ca at (0.2576, 0.0000, 0.9266), Ag at (0.0656, 0.5000, 0.1347), Hg at (0.1680, 0.5000, 0.6457), Hg at (0.4367, 0.5000, 0.1775) and Hg at (0.5000, 0.5000, 0.5000).



Ca2AgHg2: optimized geometry, GGA-PBE.

The calculation puts the formation energy at -419 meV per atom. The density of states at the Fermi level comes out at 11.52 states/eV per cell. The value obtained for the total energy is -1.9102 eV/atom.

The structure belongs to space group C2/m (No. 12); the cell edges are 11.6066, 4.2073 and 11.8900 Å and the angles 90.00°, 112.38° and 90.00°. Symmetry generates all atoms from Ca at (0.0114, 0.0000, 0.1721), Ca at (0.1840, 0.0000, 0.6110), Ag at (0.1933, 0.5000, 0.8167), Hg at (0.0423, 0.5000, 0.3906) and Hg at (0.1477, 0.5000, 0.0502).



Ca4Ag3Hg: optimized geometry, GGA-PBE.

The calculation puts the formation energy at -373 meV per atom. The density of states at the Fermi level comes out at 5.19 states/eV per cell. The value obtained for the total energy is -2.4810 eV/atom.

The structure belongs to space group P4/mmm (No. 123); the cell edges are 3.7359, 3.7359 and 14.9212 Å and the angles 90.00°, 90.00° and 90.00°. Symmetry generates all atoms from Ca at (0.0000, 0.0000, 0.1230), Ca at (0.0000, 0.0000, 0.3717), Ag at (0.5000, 0.5000, 0.0000), Ag at (0.5000, 0.5000, 0.2466) and Hg at (0.5000, 0.5000, 0.5000).



Ca8AgHg2: optimized geometry, GGA-PBE.

The calculation puts the formation energy at -229 meV per atom. The density of states at the Fermi level comes out at 19.09 states/eV per cell. The value obtained for the total energy is -1.9984 eV/atom.

The structure belongs to space group Cm (No. 8); the cell edges are 9.3324, 13.9322 and 6.2782 Å and the angles 90.00°, 109.30° and 90.00°. Symmetry generates all atoms from Ca at (0.0000, 0.0000, 0.0000), Ca at (0.0687, 0.3718, 0.7976), Ca at (0.1569, 0.1275, 0.5940), Ca at (0.2258, 0.5000, 0.3737), Ca at (0.3651, 0.2162, 0.1913), Ag at (0.3645, 0.0000, 0.0204) and Hg at (0.3596, 0.3124, 0.6841).



Ca2AgHg6: optimized geometry, GGA-PBE.

The calculation puts the formation energy at -225 meV per atom. The density of states at the Fermi level comes out at 8.04 states/eV per cell. The value obtained for the total energy is -1.1879 eV/atom.

The structure belongs to space group C2/m (No. 12); the cell edges are 15.3597, 8.3836 and 3.6342 Å and the angles 90.00°, 91.18° and 90.00°. Symmetry generates all atoms from Ca at (0.1949, 0.0000, 0.4949), Ag at (0.0000, 0.5000, 0.0000), Hg at (0.0000, 0.1823, 0.5000) and Hg at (0.1557, 0.3157, 0.9939).